## V2TeSeF (PBE with a Hubbard U)

Data for V2TeSeF after structural relaxation.

Computed properties:
- DOS at the Fermi energy (states/eV per atom) = 0.4983
- M_tot (μB per atom) = 1.23
- E_tot (eV for the cell shown) = -23.1

Cell lengths 5.3269, 5.3269, 4.3451 Å; angles 90.00, 90.00, 90.00 degrees
Atoms (fractional coordinates):
V: 0.0000 0.5000 0.0000
V: 0.5000 0.0000 0.0000
Te: 0.0000 0.0000 0.0000
Se: 0.5000 0.5000 0.5000
F: 0.0000 0.0000 0.5000